DFT (PBE) results for crystalline Ir3Rh at its relaxed geometry.

Cell lengths 5.491, 4.457, 4.742 Å; angles 90.00, 90.00, 90.00 degrees
Fractional coordinates of all 8 atoms:
Ir  0.500  0.000  0.668
Ir  0.753  0.500  0.834
Ir  0.253  0.000  0.166
Rh  0.500  0.500  0.337
Ir  0.247  0.500  0.834
Rh  0.000  0.000  0.663
Ir  0.747  0.000  0.166
Ir  0.000  0.500  0.332

D(E_F): 12.5 states/eV/cell
M_tot: 0.00 μB/cell
V: 14.51 Å³ per atom
Raw total energy: -33.66 eV/f.u.

=====

DFT (PBE) results for crystalline Ir3Rh7 at its relaxed geometry.

Cell lengths 3.846, 5.450, 7.206 Å; angles 100.83, 105.48, 90.00 degrees
Fractional coordinates of all 10 atoms:
Rh  0.000  0.500  0.000
Ir  0.000  0.000  0.000
Rh  0.399  0.700  0.799
Rh  0.601  0.300  0.201
Rh  0.599  0.799  0.198
Ir  0.798  0.400  0.597
Rh  0.199  0.099  0.399
Ir  0.202  0.600  0.403
Rh  0.401  0.201  0.802
Rh  0.801  0.901  0.601

D(E_F): 13.2 states/eV/cell
Offset from the most stable computed form: 0.0000 eV per atom
M_tot: 0.00 μB/cell
V: 14.28 Å³ per atom
Raw total energy: -78.02 eV/f.u.

=====

DFT (PBE) results for crystalline IrRh at its relaxed geometry.

Cell lengths 8.991, 8.991, 8.991 Å; angles 17.53, 17.53, 17.53 degrees
Fractional coordinates of all 4 atoms:
Ir  0.000  0.000  0.000
Ir  0.250  0.250  0.250
Rh  0.750  0.750  0.750
Rh  0.500  0.500  0.500

D(E_F): 5.2 states/eV/cell
M_tot: 0.00 μB/cell
V: 14.38 Å³ per atom
Raw total energy: -16.17 eV/f.u.

=====

DFT (PBE) results for crystalline IrRh at its relaxed geometry.

Cell lengths 3.832, 3.832, 5.327 Å; angles 90.00, 90.00, 120.00 degrees
Fractional coordinates of all 4 atoms:
Ir  0.000  0.000  0.000
Rh  0.333  0.667  0.250
Rh  0.667  0.333  0.750
Ir  0.000  0.000  0.500

D(E_F): 6.0 states/eV/cell
M_tot: 0.00 μB/cell
V: 16.93 Å³ per atom
Raw total energy: -14.97 eV/f.u.

=====

DFT (PBE) results for crystalline Ir3Rh at its relaxed geometry.

Cell lengths 3.333, 3.333, 5.359 Å; angles 90.00, 90.00, 90.00 degrees
Fractional coordinates of all 4 atoms:
Ir  0.500  0.500  0.000
Rh  0.500  0.500  0.500
Ir  0.000  0.000  0.752
Ir  0.000  0.000  0.248

D(E_F): 7.0 states/eV/cell
M_tot: 0.00 μB/cell
V: 14.88 Å³ per atom
Raw total energy: -32.75 eV/f.u.

=====

DFT (PBE) results for crystalline Ir3Rh4 at its relaxed geometry.

Cell lengths 5.093, 5.093, 4.790 Å; angles 90.00, 90.00, 120.00 degrees
Fractional coordinates of all 7 atoms:
Ir  0.000  0.500  0.000
Rh  0.000  0.000  0.255
Rh  0.667  0.333  0.500
Rh  0.000  0.000  0.745
Rh  0.333  0.667  0.500
Ir  0.500  0.500  0.000
Ir  0.500  0.000  0.000

D(E_F): 12.6 states/eV/cell
Offset from the most stable computed form: 0.2302 eV per atom
M_tot: 3.39 μB/cell
V: 15.37 Å³ per atom
Raw total energy: -53.26 eV/f.u.

=====

DFT (PBE) results for crystalline Ir5Rh at its relaxed geometry.

Cell lengths 6.127, 6.127, 3.863 Å; angles 90.00, 90.00, 143.22 degrees
Fractional coordinates of all 6 atoms:
Ir  0.640  0.360  0.000
Ir  0.805  0.195  0.500
Ir  0.472  0.528  0.500
Rh  0.972  0.028  0.000
Ir  0.139  0.861  0.500
Ir  0.304  0.696  0.000

D(E_F): 6.3 states/eV/cell
M_tot: 0.00 μB/cell
V: 14.47 Å³ per atom
Raw total energy: -51.70 eV/f.u.

=====

DFT (PBE) results for crystalline IrRh at its relaxed geometry.

Cell lengths 4.726, 4.726, 10.917 Å; angles 150.00, 150.00, 33.58 degrees
Fractional coordinates of all 4 atoms:
Ir  0.006  0.006  0.754
Rh  0.004  0.004  0.502
Ir  0.994  0.994  0.996
Rh  0.996  0.996  0.248

D(E_F): 6.7 states/eV/cell
M_tot: 0.00 μB/cell
V: 14.37 Å³ per atom
Raw total energy: -16.19 eV/f.u.

=====

DFT (PBE) results for crystalline Ir3Rh at its relaxed geometry.

Cell lengths 5.141, 5.141, 5.141 Å; angles 116.98, 116.98, 116.98 degrees
Fractional coordinates of all 4 atoms:
Ir  0.500  0.500  0.000
Ir  0.500  0.000  0.500
Rh  0.000  0.000  0.000
Ir  0.000  0.500  0.500

D(E_F): 7.4 states/eV/cell
M_tot: 2.27 μB/cell
V: 15.03 Å³ per atom
Raw total energy: -31.69 eV/f.u.

=====

DFT (PBE) results for crystalline IrRh at its relaxed geometry.

Cell lengths 11.472, 11.472, 2.626 Å; angles 90.00, 90.00, 90.00 degrees
Fractional coordinates of all 16 atoms:
Ir  0.605  0.753  0.000
Ir  0.895  0.747  0.500
Ir  0.753  0.395  0.000
Ir  0.253  0.895  0.500
Rh  0.608  0.238  0.000
Ir  0.105  0.253  0.500
Rh  0.262  0.108  0.500
Ir  0.247  0.605  0.000
Rh  0.892  0.262  0.500
Rh  0.738  0.892  0.500
Rh  0.238  0.392  0.000
Ir  0.747  0.105  0.500
Rh  0.392  0.762  0.000
Rh  0.108  0.738  0.500
Ir  0.395  0.247  0.000
Rh  0.762  0.608  0.000

D(E_F): 24.6 states/eV/cell
M_tot: 0.00 μB/cell
V: 21.60 Å³ per atom
Raw total energy: -14.42 eV/f.u.

=====

DFT (PBE) results for crystalline IrRh at its relaxed geometry.

Cell lengths 3.843, 3.843, 5.367 Å; angles 90.00, 90.00, 120.00 degrees
Fractional coordinates of all 4 atoms:
Rh  0.333  0.667  0.125
Ir  0.333  0.667  0.621
Rh  0.667  0.333  0.875
Ir  0.667  0.333  0.379

D(E_F): 4.1 states/eV/cell
M_tot: 0.00 μB/cell
V: 17.16 Å³ per atom
Raw total energy: -15.28 eV/f.u.

=====

DFT (PBE) results for crystalline IrRh at its relaxed geometry.

Cell lengths 4.722, 4.722, 4.722 Å; angles 131.81, 131.81, 70.53 degrees
Fractional coordinates of all 4 atoms:
Ir  0.000  0.000  0.000
Rh  0.500  0.500  0.000
Rh  0.250  0.750  0.500
Ir  0.750  0.250  0.500

D(E_F): 4.7 states/eV/cell
M_tot: 0.00 μB/cell
V: 14.33 Å³ per atom
Raw total energy: -16.24 eV/f.u.

=====

DFT (PBE) results for crystalline IrRh at its relaxed geometry.

Cell lengths 10.526, 10.686, 8.047 Å; angles 90.00, 90.00, 90.00 degrees
Fractional coordinates of all 32 atoms:
Rh  0.338  0.500  0.500
Rh  0.162  0.000  0.500
Rh  0.662  0.000  0.000
Ir  0.000  0.340  0.000
Ir  0.500  0.340  0.500
Rh  0.588  0.250  0.750
Rh  0.162  0.500  0.000
Ir  0.750  0.410  0.750
Rh  0.588  0.750  0.250
Rh  0.912  0.750  0.250
Rh  0.088  0.250  0.250
Ir  0.750  0.910  0.250
Rh  0.838  0.000  0.500
Ir  0.000  0.660  0.000
Ir  0.500  0.660  0.500
Ir  0.000  0.840  0.500
Rh  0.662  0.500  0.500
Ir  0.250  0.910  0.750
Rh  0.088  0.750  0.750
Rh  0.338  0.000  0.000
Ir  0.250  0.090  0.250
Ir  0.250  0.590  0.750
Ir  0.750  0.590  0.250
Rh  0.838  0.500  0.000
Rh  0.912  0.250  0.750
Ir  0.750  0.090  0.750
Rh  0.412  0.250  0.250
Rh  0.412  0.750  0.750
Ir  0.250  0.410  0.250
Ir  0.500  0.160  0.000
Ir  0.500  0.840  0.000
Ir  0.000  0.160  0.500

D(E_F): 26.2 states/eV/cell
M_tot: 0.00 μB/cell
V: 28.29 Å³ per atom
Raw total energy: -13.64 eV/f.u.

=====

DFT (PBE) results for crystalline IrRh4 at its relaxed geometry.

Cell lengths 4.671, 4.671, 4.671 Å; angles 90.00, 90.00, 90.00 degrees
Fractional coordinates of all 5 atoms:
Ir  0.500  0.500  0.500
Rh  0.500  0.500  0.000
Rh  0.000  0.500  0.500
Rh  0.500  0.000  0.500
Rh  0.000  0.000  0.000

D(E_F): 11.2 states/eV/cell
Offset from the most stable computed form: 1.6419 eV per atom
M_tot: 1.56 μB/cell
V: 20.39 Å³ per atom
Raw total energy: -30.11 eV/f.u.

=====

DFT (PBE) results for crystalline IrRh at its relaxed geometry.

Cell lengths 4.701, 4.701, 4.701 Å; angles 54.25, 54.25, 54.25 degrees
Fractional coordinates of all 4 atoms:
Ir  0.672  0.672  0.672
Rh  0.891  0.891  0.891
Ir  0.328  0.328  0.328
Rh  0.109  0.109  0.109

D(E_F): 7.0 states/eV/cell
M_tot: 0.00 μB/cell
V: 15.90 Å³ per atom
Raw total energy: -15.53 eV/f.u.

=====

DFT (PBE) results for crystalline IrRh at its relaxed geometry.

Cell lengths 8.366, 8.366, 3.737 Å; angles 90.00, 90.00, 90.00 degrees
Fractional coordinates of all 16 atoms:
Ir  0.599  0.301  0.500
Ir  0.301  0.401  0.500
Ir  0.401  0.699  0.500
Rh  0.797  0.908  0.500
Ir  0.703  0.100  0.000
Rh  0.408  0.198  0.000
Rh  0.198  0.592  0.000
Rh  0.092  0.797  0.500
Ir  0.699  0.599  0.500
Rh  0.802  0.408  0.000
Ir  0.100  0.297  0.000
Ir  0.297  0.900  0.000
Rh  0.592  0.802  0.000
Rh  0.203  0.092  0.500
Ir  0.900  0.703  0.000
Rh  0.908  0.203  0.500

D(E_F): 22.2 states/eV/cell
M_tot: 0.00 μB/cell
V: 16.35 Å³ per atom
Raw total energy: -15.45 eV/f.u.

=====

DFT (PBE) results for crystalline Ir5Rh at its relaxed geometry.

Cell lengths 2.747, 7.260, 4.455 Å; angles 90.00, 90.00, 79.09 degrees
Fractional coordinates of all 6 atoms:
Ir  0.556  0.888  0.500
Rh  0.889  0.221  0.500
Ir  0.334  0.333  0.000
Ir  0.668  0.664  0.000
Ir  0.999  0.003  0.000
Ir  0.221  0.558  0.500

D(E_F): 8.7 states/eV/cell
M_tot: 0.00 μB/cell
V: 14.54 Å³ per atom
Raw total energy: -51.25 eV/f.u.

=====

DFT (PBE) results for crystalline Ir3Rh at its relaxed geometry.

Cell lengths 4.736, 4.736, 10.937 Å; angles 149.99, 149.99, 33.57 degrees
Fractional coordinates of all 4 atoms:
Ir  0.005  0.005  0.502
Ir  0.000  0.000  0.750
Rh  0.000  0.000  0.250
Ir  0.995  0.995  0.998

D(E_F): 6.2 states/eV/cell
M_tot: 0.00 μB/cell
V: 14.47 Å³ per atom
Raw total energy: -33.85 eV/f.u.

=====

DFT (PBE) results for crystalline Ir3Rh at its relaxed geometry.

Cell lengths 4.732, 13.390, 5.475 Å; angles 90.00, 90.00, 90.00 degrees
Fractional coordinates of all 24 atoms:
Ir  0.167  0.917  0.501
Rh  0.667  0.583  0.250
Ir  0.833  0.083  0.499
Ir  0.334  0.082  0.250
Rh  0.333  0.417  0.750
Ir  0.167  0.917  0.999
Ir  0.334  0.418  0.250
Ir  0.997  0.250  0.750
Ir  0.003  0.750  0.250
Ir  0.833  0.417  0.499
Rh  0.997  0.750  0.750
Ir  0.499  0.250  0.999
Ir  0.501  0.750  0.499
Ir  0.833  0.083  0.001
Rh  0.333  0.083  0.750
Ir  0.167  0.583  0.501
Ir  0.167  0.583  0.999
Ir  0.833  0.417  0.001
Rh  0.667  0.917  0.250
Rh  0.003  0.250  0.250
Ir  0.666  0.582  0.750
Ir  0.499  0.250  0.501
Ir  0.501  0.750  0.001
Ir  0.666  0.918  0.750

D(E_F): 28.3 states/eV/cell
M_tot: 0.00 μB/cell
V: 14.45 Å³ per atom
Raw total energy: -33.86 eV/f.u.

=====

DFT (PBE) results for crystalline Ir3Rh at its relaxed geometry.

Cell lengths 5.465, 5.465, 8.948 Å; angles 90.00, 90.00, 120.00 degrees
Fractional coordinates of all 16 atoms:
Ir  0.834  0.166  0.250
Ir  0.667  0.834  0.750
Ir  0.834  0.667  0.250
Rh  0.000  0.000  0.000
Ir  0.500  0.500  0.500
Rh  0.000  0.000  0.500
Ir  0.000  0.500  0.500
Ir  0.166  0.333  0.750
Ir  0.500  0.000  0.500
Ir  0.000  0.500  0.000
Rh  0.667  0.333  0.750
Ir  0.500  0.500  0.000
Ir  0.500  0.000  0.000
Ir  0.333  0.166  0.250
Rh  0.333  0.667  0.250
Ir  0.166  0.834  0.750

D(E_F): 19.2 states/eV/cell
M_tot: 0.00 μB/cell
V: 14.46 Å³ per atom
Raw total energy: -33.85 eV/f.u.